1.
# LiFeCuSb PBE optimized geometry
# energy above the most stable polymorph in this dataset = 0.0 meV/atom
# calculated volume = 13.50 Å³/atom
# ρ = 7.63 Mg/m³
# total DFT energy (no corrections) = -4.515 eV per atom
data_LiFeCuSb
_space_group_name_H-M_alt 'F -4 3 m'
_space_group_IT_number 216
_space_group_name_Hall 'F -4 2 3'
_cell_length_a 6.001
_cell_length_b 6.001
_cell_length_c 6.001
_cell_angle_alpha 90.00
_cell_angle_beta 90.00
_cell_angle_gamma 90.00
loop_
_atom_site_label
_atom_site_fract_x
_atom_site_fract_y
_atom_site_fract_z
Li1 0.000 0.000 0.000
Fe1 0.000 0.000 0.500
Cu1 0.250 0.250 0.750
Sb1 0.250 0.250 0.250

---

2.
# NdErLu PBE optimized geometry
# energy above the most stable polymorph in this dataset = 0.0 meV/atom
# calculated volume = 37.17 Å³/atom
# ρ = 7.24 Mg/m³
# total DFT energy (no corrections) = -3.910 eV per atom
data_NdErLu
_space_group_name_H-M_alt 'F -4 3 m'
_space_group_IT_number 216
_space_group_name_Hall 'F -4 2 3'
_cell_length_a 7.640
_cell_length_b 7.640
_cell_length_c 7.640
_cell_angle_alpha 90.00
_cell_angle_beta 90.00
_cell_angle_gamma 90.00
loop_
_atom_site_label
_atom_site_fract_x
_atom_site_fract_y
_atom_site_fract_z
Nd1 0.000 0.000 0.000
Er1 0.000 0.000 0.500
Lu1 0.250 0.250 0.750

---

3.
# Dy2Y2CI2Br3 PBE optimized geometry
# energy above the most stable polymorph in this dataset = 0.0 meV/atom
# calculated volume = 28.73 Å³/atom
# ρ = 5.83 Mg/m³
# total DFT energy (no corrections) = -5.247 eV per atom
data_Dy2Y2CI2Br3
_space_group_name_H-M_alt 'C 1 2/m 1'
_space_group_IT_number 12
_space_group_name_Hall '-C 2y'
_cell_length_a 18.551
_cell_length_b 3.867
_cell_length_c 8.195
_cell_angle_alpha 90.00
_cell_angle_beta 102.18
_cell_angle_gamma 90.00
loop_
_atom_site_label
_atom_site_fract_x
_atom_site_fract_y
_atom_site_fract_z
Dy1 0.001 0.000 0.301
Y1 0.133 0.500 0.571
C1 0.000 0.500 0.500
I1 0.171 0.000 0.310
Br1 0.000 0.500 0.000
Br2 0.157 0.000 0.835

---

4.
# Li6CdSe4O12 PBE optimized geometry
# calculated volume = 12.35 Å³/atom
# ρ = 3.87 Mg/m³
# total DFT energy (no corrections) = -5.168 eV per atom
data_Li6CdSe4O12
_space_group_name_H-M_alt 'C 1 2 1'
_space_group_IT_number 5
_space_group_name_Hall 'C 2y'
_cell_length_a 15.798
_cell_length_b 4.877
_cell_length_c 8.301
_cell_angle_alpha 90.00
_cell_angle_beta 117.34
_cell_angle_gamma 90.00
loop_
_atom_site_label
_atom_site_fract_x
_atom_site_fract_y
_atom_site_fract_z
Li1 0.157 0.000 0.280
Li2 0.208 0.494 0.880
Li3 0.234 0.999 0.676
Cd1 0.000 0.418 0.000
Se1 0.088 0.926 0.819
Se2 0.109 0.498 0.465
O1 0.069 0.574 0.826
O2 0.093 0.028 0.020
O3 0.123 0.847 0.462
O4 0.137 0.402 0.292
O5 0.207 0.910 0.874
O6 0.213 0.400 0.655

---

5.
# TbNdNi2Ge4 PBE optimized geometry
# calculated volume = 18.53 Å³/atom
# ρ = 7.96 Mg/m³
# total DFT energy (no corrections) = -5.607 eV per atom
data_TbNdNi2Ge4
_space_group_name_H-M_alt 'A m m 2'
_space_group_IT_number 38
_space_group_name_Hall 'A 2 -2'
_cell_length_a 4.224
_cell_length_b 4.210
_cell_length_c 16.676
_cell_angle_alpha 90.00
_cell_angle_beta 90.00
_cell_angle_gamma 90.00
loop_
_atom_site_label
_atom_site_fract_x
_atom_site_fract_y
_atom_site_fract_z
Tb1 0.000 0.000 0.000
Nd1 0.500 0.000 0.216
Ni1 0.000 0.000 0.790
Ni2 0.500 0.000 0.426
Ge1 0.000 0.000 0.359
Ge2 0.000 0.000 0.650
Ge3 0.500 0.000 0.565
Ge4 0.500 0.000 0.857

---

6.
# NpFe4B4 PBE optimized geometry
# calculated volume = 9.98 Å³/atom
# ρ = 9.31 Mg/m³
# total DFT energy (no corrections) = -8.390 eV per atom
data_NpFe4B4
_space_group_name_H-M_alt 'P 42/n'
_space_group_IT_number 86
_cell_length_a 6.818
_cell_length_b 6.818
_cell_length_c 3.865
_cell_angle_alpha 90.00
_cell_angle_beta 90.00
_cell_angle_gamma 90.00
loop_
_space_group_symop_operation_xyz
'x,y,z'
'-x,-y,-z'
'-y,x+1/2,z+1/2'
'y,-x+1/2,-z+1/2'
'-x+1/2,-y+1/2,z'
'x+1/2,y+1/2,-z'
'y+1/2,-x,z+1/2'
'-y+1/2,x,-z+1/2'
loop_
_atom_site_label
_atom_site_fract_x
_atom_site_fract_y
_atom_site_fract_z
Np1 0.250 0.250 0.250
Fe1 0.123 0.876 0.644
B1 0.048 0.912 0.144

---

7.
# Cu8GeSe6 PBE optimized geometry
# calculated volume = 18.39 Å³/atom
# ρ = 6.35 Mg/m³
# total DFT energy (no corrections) = -3.803 eV per atom
data_Cu8GeSe6
_space_group_name_H-M_alt 'P 63 c m'
_space_group_IT_number 185
_space_group_name_Hall 'P 6c -2'
_cell_length_a 12.7121
_cell_length_b 12.7121
_cell_length_c 11.8250
_cell_angle_alpha 90.00
_cell_angle_beta 90.00
_cell_angle_gamma 120.00
loop_
_atom_site_label
_atom_site_fract_x
_atom_site_fract_y
_atom_site_fract_z
Cu1 0.0000 0.1866 0.3800
Cu2 0.0000 0.4535 0.0697
Cu3 0.1295 0.4890 0.4060
Cu4 0.1424 0.3345 0.0000
Cu5 0.1607 0.3555 0.7808
Ge1 0.0000 0.0000 0.1370
Ge2 0.3333 0.6667 0.1617
Se1 0.0000 0.0000 0.3375
Se2 0.0000 0.1826 0.5903
Se3 0.0000 0.3478 0.2584
Se4 0.0000 0.3607 0.8900
Se5 0.1553 0.4822 0.6118
Se6 0.3333 0.6667 0.3628

---

8.
# Sr3Pr2O7 PBE optimized geometry
# calculated volume = 18.11 Å³/atom
# ρ = 5.02 Mg/m³
# total DFT energy (no corrections) = -6.515 eV per atom
data_Sr3Pr2O7
_space_group_name_H-M_alt 'I 4/m m m'
_space_group_IT_number 139
_space_group_name_Hall '-I 4 2'
_cell_length_a 4.503
_cell_length_b 4.503
_cell_length_c 21.429
_cell_angle_alpha 90.00
_cell_angle_beta 90.00
_cell_angle_gamma 90.00
loop_
_atom_site_label
_atom_site_fract_x
_atom_site_fract_y
_atom_site_fract_z
Sr1 0.000 0.000 0.000
Sr2 0.000 0.000 0.183
Pr1 0.000 0.000 0.395
O1 0.000 0.000 0.290
O2 0.000 0.000 0.500
O3 0.000 0.500 0.101